1.
Here is a geometry-optimized Pr5YZn4 structure from Alexandria. Energies are from PBE-GGA.

The calculated volume is 274.56 Å³ per cell. As for the electronic total energy: -3.780 eV/atom. The energy of formation is -234.3 meV/atom.

Unit cell a=3.713 b=3.713 c=19.916 alpha=90.00 beta=90.00 gamma=90.00
Fractional coordinates of all 10 atoms:
Pr (0.500, 0.500, 0.686)
Pr (0.500, 0.500, 0.129)
Pr (0.500, 0.500, 0.871)
Pr (0.500, 0.500, 0.314)
Pr (0.500, 0.500, 0.500)
Zn (0.000, 0.000, 0.406)
Zn (0.000, 0.000, 0.594)
Zn (0.000, 0.000, 0.780)
Zn (0.000, 0.000, 0.220)
Y (0.000, 0.000, 0.000)

***

2.
Here is a geometry-optimized Pr2Y3Zn3 structure from Alexandria. Energies are from PBE-GGA.

The calculated volume is 209.78 Å³ per cell. As for the electronic total energy: -4.336 eV/atom. The energy of formation is -239.7 meV/atom.

Unit cell a=3.680 b=5.177 c=11.461 alpha=103.05 beta=99.24 gamma=90.00
Fractional coordinates of all 8 atoms:
Zn (0.110, 0.110, 0.220)
Zn (0.890, 0.890, 0.780)
Zn (0.000, 0.500, 0.000)
Y (0.386, 0.386, 0.772)
Y (0.500, 0.000, 0.000)
Y (0.614, 0.614, 0.228)
Pr (0.727, 0.227, 0.453)
Pr (0.273, 0.773, 0.547)